Version w
The following is a DFT calculation (PBE-GGA) of a relaxed structure of K2TcRu.

Geometry as extended XYZ:
```
4
Lattice="-10.2401 -1.9017 -1.0992 -9.2897 -1.9459 -4.4270 0.0542 -3.5390 0.0624" Properties=species:S:1:pos:R:3 pbc="T T T"
K -1.9723 -3.5436 -0.5163
K -7.7114 -3.6887 -2.1533
Ru -14.6067 -5.5400 -4.0979
Tc -4.8689 -1.8467 -1.3660
```

Computed properties:
DOS(E_F)	0.967	states/eV/atom
total magnetization	0.210	μB per cell
ρ	3.7	g/cm3

***

Version x
The following is a DFT calculation (PBE-GGA) of a relaxed structure of K2TcRu.

Geometry as extended XYZ:
```
4
Lattice="-2.5315 0.3627 -0.8476 -0.1269 -2.5346 0.9047 -2.9467 3.8817 10.4620" Properties=species:S:1:pos:R:3 pbc="T T T"
K -0.0140 0.0185 0.0498
K -1.4593 1.9224 5.1812
Ru -2.0659 -0.1155 2.6440
Tc -3.5392 1.8253 7.8750
```

Computed properties:
DOS(E_F)	0.997	states/eV/atom
total magnetization	0.362	μB per cell
ρ	5.6	g/cm3

***

Most stable: version w. Least stable: version x.

***

Version w
The following is a DFT calculation (PBE-GGA) of a relaxed structure of ReTe2Au.

Geometry as extended XYZ:
```
4
Lattice="-2.1624 -1.8811 -1.3149 -0.5596 -1.3200 2.8086 -6.7351 6.5338 1.7289" Properties=species:S:1:pos:R:3 pbc="T T T"
Au -3.6785 3.5685 0.9443
Re -6.3651 3.2540 2.0314
Te -6.1188 5.9358 1.5707
Te -3.3973 0.3749 1.2696
```

Computed properties:
DOS(E_F)	0.861	states/eV/atom
total magnetization	0.003	μB per cell
ρ	11.2	g/cm3

***

Version x
The following is a DFT calculation (PBE-GGA) of a relaxed structure of ReTe2Au.

Geometry as extended XYZ:
```
4
Lattice="-6.2161 -5.3570 2.1282 4.7915 3.0509 2.8071 -0.5425 2.6243 1.0546" Properties=species:S:1:pos:R:3 pbc="T T T"
Au 2.1245 2.8376 1.9309
Re -0.7123 -1.1531 2.4676
Te 0.0000 0.0000 0.0000
Te -3.3793 -1.3664 1.5914
```

Computed properties:
DOS(E_F)	1.074	states/eV/atom
total magnetization	0.007	μB per cell
ρ	11.6	g/cm3

***

Most stable: version w. Least stable: version x.